Material: KInSn
Method: DFT, PBE
State: relaxed

a b c (Å): 5.4768 12.9547 6.0753
angles (deg): 90.00 90.00 90.00
Space group Cmcm (No. 63)
One atom of each set of equivalent atoms:
K (0.0000, 0.2234, 0.2500) [4 per cell]
In (0.0000, 0.5000, 0.0000) [4 per cell]
Sn (0.0000, 0.0572, 0.7500) [4 per cell]

Calculated values
The formation energy comes out at -86 meV per atom. The value obtained for the raw total energy is -0.198 Ry per atom. The calculation puts the magnetic moment at 0.00 μB/atom. As for the crystal system: orthorhombic.